{"formula": "Ce2MgHg4", "functional": "PBE", "state": "optimized geometry", "spacegroup": "R-3m", "crystal_system": "trigonal", "de_polymorph_mev_per_atom": 0, "cell": [[-4.376, 2.307, 1.408], [-1.817, -0.626, 4.771], [2.337, 7.342, 4.626]], "species": ["Hg", "Hg", "Hg", "Hg", "Ce", "Ce", "Mg"], "fractional_positions": [[0.624, 0.624, 0.129], [0.873, 0.873, 0.381], [0.376, 0.376, 0.871], [0.127, 0.127, 0.619], [0.749, 0.749, 0.754], [0.251, 0.251, 0.246], [0.000, 0.000, 0.000]]}